# 1
Entry from OQMD via LeMat-Bulk: a relaxed structure of LaAl2GaPt (PBE).

Properties
V   20.2 Å³/atom
Uncorrected energy   -25.3 eV per formula unit

abc: 6.145 6.145 6.145
angles: 138.48 138.48 60.17
Fractional coordinates of all 5 atoms:
1 Al 0.873 0.373 0.500
2 Pt 0.500 0.500 0.000
3 La 0.250 0.750 0.500
4 Al 0.627 0.127 0.500
5 Ga 0.000 0.000 0.000

***

# 2
Entry from OQMD via LeMat-Bulk: a relaxed structure of FeGePdW (PBE).

Properties
V   14.5 Å³/atom
Offset from the most stable computed form   0.000 eV per atom

abc: 4.348 4.348 4.348
angles: 60.00 60.00 60.00
Fractional coordinates of all 4 atoms:
1 W 0.250 0.250 0.250
2 Ge 0.000 0.000 0.000
3 Fe 0.750 0.750 0.750
4 Pd 0.500 0.500 0.500

***

# 3
Entry from OQMD via LeMat-Bulk: a relaxed structure of Na2CuMoS4 (PBE).

Properties
V   23.6 Å³/atom
Uncorrected energy   -39.1 eV per formula unit

abc: 6.543 6.543 6.246
angles: 118.50 118.50 95.07
Site moments in Bohr magnetons follow the coordinates.
Fractional coordinates of all 8 atoms:
1 Na 0.764 0.236 0.000  0.00
2 S 0.957 0.685 0.063  0.00
3 Cu 0.014 0.986 0.500  0.01
4 S 0.315 0.043 0.937  0.00
5 S 0.634 0.849 0.421  0.00
6 Na 0.515 0.485 0.500  0.00
7 S 0.151 0.366 0.579  0.00
8 Mo 0.264 0.736 0.000  0.63

***

# 4
Entry from OQMD via LeMat-Bulk: a relaxed structure of BeCu4Si2Ni (PBE).

Properties
V   11.2 Å³/atom
Uncorrected energy   -35.2 eV per formula unit

abc: 3.979 3.979 5.653
angles: 90.00 90.00 90.00
Fractional coordinates of all 8 atoms:
1 Ni 0.500 0.500 0.000
2 Si 0.000 0.000 0.000
3 Cu 0.500 0.000 0.265
4 Be 0.000 0.000 0.500
5 Cu 0.000 0.500 0.735
6 Si 0.500 0.500 0.500
7 Cu 0.500 0.000 0.735
8 Cu 0.000 0.500 0.265

***

# 5
Entry from OQMD via LeMat-Bulk: a relaxed structure of PuHfZn (PBE).

Properties
Formation energy from the elements   380.2 meV per atom
V   24.3 Å³/atom
Offset from the most stable computed form   0.000 eV per atom

abc: 4.689 4.689 4.689
angles: 60.00 60.00 60.00
Site moments in Bohr magnetons follow the coordinates.
Fractional coordinates of all 3 atoms:
1 Zn 0.000 0.000 0.000  0.01
2 Hf 0.250 0.250 0.250  0.49
3 Pu 0.750 0.750 0.750  5.35

***

# 6
Entry from OQMD via LeMat-Bulk: a relaxed structure of ZnFeRePb (PBE).

Properties
V   16.1 Å³/atom
Offset from the most stable computed form   0.000 eV per atom

abc: 4.501 4.501 4.501
angles: 60.00 60.00 60.00
Fractional coordinates of all 4 atoms:
1 Pb 0.000 0.000 0.000
2 Fe 0.750 0.750 0.750
3 Zn 0.500 0.500 0.500
4 Re 0.250 0.250 0.250